Record 1
SmGaTe4: optimized geometry, PBE.

abc: 6.535 8.200 9.892
angles: 90.00 90.00 129.17
Positions (direct):
1 Te 0.441 0.340 0.250
2 Te 0.997 0.711 0.057
3 Te 0.997 0.711 0.443
4 Te 0.003 0.289 0.557
5 Te 0.003 0.289 0.943
6 Te 0.435 0.096 0.750
7 Te 0.565 0.904 0.250
8 Te 0.559 0.660 0.750
9 Ga 0.000 0.946 0.250
10 Ga 0.000 0.054 0.750
11 Sm 0.996 0.598 0.750
12 Sm 0.004 0.402 0.250

Properties
M_tot = 0.0 μB per formula unit
Formation energy without anion corrections = -0.54 eV per atom
Calculated total energy = -3.93 eV per atom


Record 2
Mg2MnAs: optimized geometry, PBE.

abc: 5.460 5.460 4.349
angles: 66.40 66.40 38.26
Each line ends with the local moment (μB).
Positions (direct):
1 As 0.224 0.224 0.276  -0.04
2 Mg 0.986 0.986 0.015  -0.03
3 Mg 0.761 0.761 0.738  -0.03
4 Mn 0.529 0.529 0.471  3.30

Properties
Calculated formation energy = -66 meV per atom
M_tot = 3.2 μB per formula unit
Calculated total energy = -4.32 eV per atom


Record 3
BaLa2YMn: optimized geometry, PBE.

abc: 5.440 5.440 5.763
angles: 90.00 90.00 90.00
Positions (direct):
1 Y 0.000 0.000 0.500
2 Ba 0.500 0.500 0.500
3 La 0.500 0.000 0.000
4 La 0.000 0.500 0.000
5 Mn 0.000 0.000 0.000

Properties
Calculated formation energy = 209 meV per atom
M_tot = 0.0 μB per formula unit
Calculated total energy = -5.27 eV per atom


Record 4
Ac16Co3Rh5: optimized geometry, PBE.

abc: 8.538 8.538 13.888
angles: 89.92 89.92 59.91
Positions (direct):
1 Ac 0.673 0.158 0.903
2 Ac 0.327 0.830 0.404
3 Ac 0.837 0.837 0.401
4 Ac 0.496 0.020 0.162
5 Ac 0.996 0.996 0.173
6 Ac 0.981 0.515 0.660
7 Ac 0.165 0.165 0.907
8 Ac 0.515 0.981 0.660
9 Ac 0.337 0.337 0.397
10 Ac 0.490 0.490 0.164
11 Ac 0.158 0.673 0.903
12 Ac 0.996 0.996 0.671
13 Ac 0.020 0.496 0.162
14 Ac 0.672 0.672 0.899
15 Ac 0.510 0.510 0.659
16 Ac 0.830 0.327 0.404
17 Rh 0.835 0.333 0.785
18 Rh 0.333 0.835 0.785
19 Rh 0.334 0.334 0.024
20 Rh 0.667 0.667 0.522
21 Rh 0.166 0.166 0.286
22 Co 0.167 0.666 0.284
23 Co 0.666 0.167 0.284
24 Co 0.833 0.833 0.783

Properties
Calculated formation energy = -355 meV per atom
M_tot = 0.0 μB per formula unit
Calculated total energy = -5.51 eV per atom


Which formula does entry 2 have? Mg2MnAs


Which value of M_tot does entry 1 give? 0.0 μB per formula unit